Crystalline KRb5Na6 at its relaxed geometry, computed with PBE-GGA.

The structure in extended XYZ format:
```
12
Lattice="3.505 -10.577 0.000 3.505 10.577 0.000 0.000 0.000 9.735" Properties=species:S:1:pos:R:3 pbc="T T T"
K 0.000 0.000 0.000
Rb 0.000 0.000 4.867
Rb 3.505 3.552 0.000
Rb 3.505 3.555 4.867
Rb 3.505 -3.552 0.000
Rb 3.505 -3.555 4.867
Na 3.505 7.141 2.370
Na 3.505 7.141 7.364
Na 3.505 0.000 2.316
Na 3.505 0.000 7.418
Na 3.505 -7.141 2.370
Na 3.505 -7.141 7.364
```

Computed properties:
Its density of states at the Fermi level is 7.9 states/eV per cell. The symmetry is Cmmm. As for the total energy: -1.12 eV per atom. The calculation puts the spin magnetization at 0.000 Bohr magnetons per cell. The energy of formation from the pure elements is 37 meV/atom.